Crystalline NaAlPb at its relaxed geometry, computed with GGA-PBE.

Formation energy ... 0.0094 eV per atom
Symmetry ... No. 187

Cell: 4.857 4.857 7.662 Å, 90.00 90.00 120.00°
Atoms (fractional coordinates):
Pb (0.000, 0.000, 0.284)
Pb (0.000, 0.000, 0.716)
Al (0.333, 0.667, 0.821)
Al (0.333, 0.667, 0.179)
Na (0.667, 0.333, 0.500)
Na (0.667, 0.333, 0.000)

=====

Crystalline NdSmTh2 at its relaxed geometry, computed with GGA-PBE.

Formation energy ... 0.5042 eV per atom
Symmetry ... No. 15

Cell: 13.860 13.860 3.595 Å, 83.71 83.71 151.20°
Atoms (fractional coordinates):
Nd (0.000, 0.500, 0.500)
Th (0.702, 0.809, 0.212)
Th (0.298, 0.191, 0.788)
Sm (0.653, 0.347, 0.250)
Th (0.191, 0.298, 0.288)
Nd (0.500, 0.000, 0.000)
Sm (0.347, 0.653, 0.750)
Th (0.809, 0.702, 0.712)

=====

Crystalline PmNdTh3 at its relaxed geometry, computed with GGA-PBE.

Formation energy ... 0.3508 eV per atom
Symmetry ... No. 74

Cell: 6.042 11.934 8.344 Å, 135.65 111.23 90.00°
Atoms (fractional coordinates):
Pm (0.000, 0.500, 0.000)
Th (0.330, 0.330, 0.159)
Th (0.000, 0.000, 0.500)
Pm (0.500, 0.000, 0.000)
Nd (0.297, 0.250, 0.500)
Th (0.000, 0.500, 0.500)
Nd (0.703, 0.750, 0.500)
Th (0.330, 0.830, 0.159)
Th (0.670, 0.670, 0.841)
Th (0.670, 0.170, 0.841)

=====

Crystalline LaBTe2 at its relaxed geometry, computed with GGA-PBE.

Symmetry ... No. 166
Formation energy from raw total energies ... 0.043 eV/atom

Cell: 8.656 8.656 8.656 Å, 29.19 29.19 29.19°
Atoms (fractional coordinates):
Te (0.084, 0.084, 0.084)
B (0.000, 0.000, 0.000)
La (0.500, 0.500, 0.500)
Te (0.916, 0.916, 0.916)

=====

Crystalline PmPr2Th at its relaxed geometry, computed with GGA-PBE.

Formation energy ... 0.1496 eV per atom
Symmetry ... No. 119

Cell: 5.687 5.687 6.117 Å, 57.47 57.47 65.04°
Atoms (fractional coordinates):
Th (0.500, 0.500, 0.501)
Pr (0.000, 0.000, 0.999)
Pm (0.750, 0.750, 0.750)
Pr (0.250, 0.250, 0.250)

=====

Crystalline Pm3BiH3 at its relaxed geometry, computed with GGA-PBE.

Final energy ... -64.5 eV/cell
Symmetry ... No. 223

Cell: 6.474 6.474 6.474 Å, 90.00 90.00 90.00°
Atoms (fractional coordinates):
H (0.000, 0.500, 0.250)
H (0.000, 0.500, 0.750)
Pm (0.000, 0.750, 0.500)
Bi (0.000, 0.000, 0.000)
Bi (0.500, 0.500, 0.500)
Pm (0.500, 0.000, 0.250)
Pm (0.750, 0.500, 0.000)
Pm (0.000, 0.250, 0.500)
Pm (0.500, 0.000, 0.750)
H (0.750, 0.000, 0.500)
H (0.500, 0.250, 0.000)
H (0.250, 0.000, 0.500)
Pm (0.250, 0.500, 0.000)
H (0.500, 0.750, 0.000)

=====

Crystalline Mg2AsOs at its relaxed geometry, computed with GGA-PBE.

Formation energy ... -0.0169 eV per atom
Symmetry ... No. 99

Cell: 3.097 3.097 7.760 Å, 90.00 90.00 90.00°
Atoms (fractional coordinates):
As (0.500, 0.500, 0.699)
Mg (0.000, 0.000, 0.968)
Os (0.000, 0.000, 0.536)
Mg (0.500, 0.500, 0.297)

=====

Crystalline Sm8AlHg2 at its relaxed geometry, computed with GGA-PBE.

Formation energy ... -0.2065 eV per atom
Symmetry ... No. 12

Cell: 5.288 7.140 9.629 Å, 107.23 105.94 90.00°
Atoms (fractional coordinates):
Hg (0.179, 0.720, 0.359)
Hg (0.821, 0.280, 0.641)
Sm (0.195, 0.311, 0.391)
Sm (0.805, 0.689, 0.609)
Sm (0.665, 0.975, 0.331)
Sm (0.335, 0.025, 0.669)
Sm (0.020, 0.772, 0.040)
Sm (0.410, 0.540, 0.820)
Al (0.500, 0.000, 0.000)
Sm (0.590, 0.460, 0.180)
Sm (0.980, 0.228, 0.960)